(1)
{"formula": "TcH3Pd", "functional": "GGA-PBE", "state": "optimized geometry", "relative_energy_kj_per_mol_atoms": 11.9, "e_tot_ev_per_atom": -4.672, "magmom_total_mub_per_cell": 1.497, "cell": [[-3.3935, 0.5614, 0.1652], [-0.1157, -1.5969, 3.0487], [0.5737, 2.9988, 1.5925]], "species": ["H", "H", "H", "Tc", "Pd"], "fractional_positions": [[0.0000, 0.5000, 0.0000], [0.0000, 0.0000, 0.5000], [0.5000, 0.0000, 0.0000], [0.5000, 0.5000, 0.5000], [0.0000, 0.0000, 0.0000]]}

(2)
{"formula": "TcH2Pd2", "functional": "GGA-PBE", "state": "optimized geometry", "e_tot_ev_per_atom": -5.181, "magmom_total_mub_per_cell": 0.001, "cell": [[6.2501, 0.0000, 0.0000], [0.0000, 6.2501, 0.0000], [0.0000, 0.0000, 2.7802]], "species": ["H", "H", "H", "H", "Tc", "Tc", "Pd", "Pd", "Pd", "Pd"], "fractional_positions": [[0.2831, 0.7831, 0.0000], [0.7831, 0.7169, 0.0000], [0.7169, 0.2169, 0.0000], [0.2169, 0.2831, 0.0000], [0.0000, 0.0000, 0.0000], [0.5000, 0.5000, 0.0000], [0.1550, 0.6550, 0.5000], [0.6550, 0.8450, 0.5000], [0.8450, 0.3450, 0.5000], [0.3450, 0.1550, 0.5000]]}

(3)
{"formula": "Tc2H2Pd", "functional": "GGA-PBE", "state": "optimized geometry", "relative_energy_kj_per_mol_atoms": 12.9, "e_tot_ev_per_atom": -6.225, "magmom_total_mub_per_cell": 0.000, "cell": [[5.9707, 0.0000, 0.0000], [0.0000, 5.9707, 0.0000], [0.0000, 0.0000, 2.8957]], "species": ["H", "H", "H", "H", "Tc", "Tc", "Tc", "Tc", "Pd", "Pd"], "fractional_positions": [[0.2873, 0.7873, 0.0000], [0.7873, 0.7127, 0.0000], [0.7127, 0.2127, 0.0000], [0.2127, 0.2873, 0.0000], [0.1342, 0.6342, 0.5000], [0.6342, 0.8658, 0.5000], [0.8658, 0.3658, 0.5000], [0.3658, 0.1342, 0.5000], [0.0000, 0.0000, 0.0000], [0.5000, 0.5000, 0.0000]]}

(4)
{"formula": "TcHPd2", "functional": "GGA-PBE", "state": "optimized geometry", "relative_energy_kj_per_mol_atoms": 47.2, "e_tot_ev_per_atom": -5.237, "magmom_total_mub_per_cell": 2.730, "cell": [[0.0000, 3.0271, 3.0271], [3.0271, 0.0000, 3.0271], [3.0271, 3.0271, 0.0000]], "species": ["H", "Tc", "Pd", "Pd"], "fractional_positions": [[0.0000, 0.0000, 0.0000], [0.5000, 0.5000, 0.5000], [0.2500, 0.2500, 0.2500], [0.7500, 0.7500, 0.7500]]}

(5)
{"formula": "TcH2Pd", "functional": "GGA-PBE", "state": "optimized geometry", "relative_energy_kj_per_mol_atoms": 0.0, "e_tot_ev_per_atom": -5.487, "magmom_total_mub_per_cell": 0.000, "cell": [[-2.5644, 0.7040, -1.0670], [-2.2762, 0.1658, 1.7326], [-0.6250, 5.1535, 1.0552]], "species": ["Tc", "H", "H", "Pd"], "fractional_positions": [[0.6697, 0.6697, 0.9908], [0.0628, 0.0628, 0.8116], [0.2744, 0.2744, 0.1768], [0.4931, 0.4931, 0.5207]]}

(6)
{"formula": "TcH3Pd", "functional": "GGA-PBE", "state": "optimized geometry", "relative_energy_kj_per_mol_atoms": 0.0, "e_tot_ev_per_atom": -4.795, "magmom_total_mub_per_cell": 0.000, "cell": [[3.4477, 0.0000, 0.0000], [0.0000, 3.4477, 0.0000], [0.0000, 0.0000, 3.4477]], "species": ["H", "H", "H", "Tc", "Pd"], "fractional_positions": [[0.0000, 0.5000, 0.0000], [0.0000, 0.0000, 0.5000], [0.5000, 0.0000, 0.0000], [0.0000, 0.0000, 0.0000], [0.5000, 0.5000, 0.5000]]}